(1)
First-principles (GGA-PBE) data for a relaxed structure of Tm2Zn2CuNi5, as listed in Alexandria.

a = 3.550 Å, b = 9.075 Å, c = 9.075 Å
α = 90.00°, β = 90.00°, γ = 90.00°
Positions (direct):
Tm (0.000, 0.678, 0.178)
Tm (0.000, 0.322, 0.822)
Tm (0.000, 0.178, 0.322)
Tm (0.000, 0.822, 0.678)
Zn (0.000, 0.120, 0.620)
Zn (0.000, 0.880, 0.380)
Zn (0.000, 0.620, 0.880)
Zn (0.000, 0.380, 0.120)
Cu (0.000, 0.000, 0.000)
Cu (0.000, 0.500, 0.500)
Ni (0.500, 0.199, 0.059)
Ni (0.500, 0.801, 0.941)
Ni (0.500, 0.059, 0.801)
Ni (0.500, 0.699, 0.441)
Ni (0.500, 0.941, 0.199)
Ni (0.500, 0.301, 0.559)
Ni (0.500, 0.559, 0.699)
Ni (0.500, 0.441, 0.301)
Ni (0.500, 0.500, 0.000)
Ni (0.500, 0.000, 0.500)

Calculated values
total magnetization: 0.00 μB/cell
electronic total energy: -0.3443 Ry per atom
formation energy: -227 kJ/mol of formula units
calculated density: 9.38 Mg/m³

=====

(2)
First-principles (GGA-PBE) data for a relaxed structure of Dy2TaCrN5, as listed in Alexandria.

a = 3.224 Å, b = 6.771 Å, c = 10.036 Å
α = 90.00°, β = 90.00°, γ = 103.77°
Positions (direct):
Dy (0.859, 0.718, 0.802)
Dy (0.111, 0.221, 0.693)
Dy (0.141, 0.282, 0.302)
Dy (0.889, 0.779, 0.193)
Ta (0.785, 0.570, 0.512)
Ta (0.215, 0.430, 0.012)
Cr (0.524, 0.049, 0.959)
Cr (0.476, 0.951, 0.459)
N (0.365, 0.730, 0.001)
N (0.681, 0.363, 0.876)
N (0.492, 0.984, 0.787)
N (0.286, 0.573, 0.653)
N (0.957, 0.915, 0.541)
N (0.635, 0.270, 0.501)
N (0.319, 0.637, 0.376)
N (0.508, 0.016, 0.287)
N (0.714, 0.427, 0.153)
N (0.043, 0.085, 0.041)

Calculated values
total magnetization: 0.59 μB/cell
electronic total energy: -0.6779 Ry per atom
formation energy without anion corrections: -115 kJ/mol of atoms
calculated density: 9.80 Mg/m³

=====

(3)
First-principles (GGA-PBE) data for a relaxed structure of CsBi4Se6, as listed in Alexandria.

a = 8.068 Å, b = 8.068 Å, c = 8.068 Å
α = 85.51°, β = 122.62°, γ = 122.62°
Positions (direct):
Cs (0.000, 0.000, 0.000)
Bi (0.000, 0.208, 0.564)
Bi (0.643, 0.436, 0.436)
Bi (0.000, 0.564, 0.208)
Bi (0.357, 0.792, 0.792)
Se (0.000, 0.866, 0.512)
Se (0.000, 0.512, 0.866)
Se (0.645, 0.134, 0.134)
Se (0.500, 0.000, 0.500)
Se (0.355, 0.488, 0.488)
Se (0.500, 0.500, 0.000)

Calculated values
total magnetization: 0.00 μB/cell
electronic total energy: -0.2728 Ry per atom
formation energy without anion corrections: -31 kJ/mol of atoms
calculated density: 6.74 Mg/m³
offset from the most stable computed form: 16.02 kJ per mole of atoms

=====

(4)
First-principles (GGA-PBE) data for a relaxed structure of Mg2CuHgP, as listed in Alexandria.

a = 4.995 Å, b = 4.995 Å, c = 4.348 Å
α = 90.00°, β = 90.00°, γ = 90.00°
Positions (direct):
P (0.000, 0.000, 0.000)
Mg (0.000, 0.500, 0.000)
Mg (0.500, 0.000, 0.000)
Hg (0.500, 0.500, 0.500)
Cu (0.000, 0.000, 0.500)

Calculated values
total magnetization: 0.00 μB/cell
electronic total energy: -0.1961 Ry per atom
formation energy: -33 kJ/mol of formula units
calculated density: 5.26 Mg/m³

=====

(5)
First-principles (GGA-PBE) data for a relaxed structure of TlTcO4, as listed in Alexandria.

a = 5.145 Å, b = 5.493 Å, c = 6.113 Å
α = 105.77°, β = 90.00°, γ = 90.00°
Positions (direct):
Tl (0.000, 0.500, 0.500)
Tl (0.500, 0.000, 0.500)
Tc (0.500, 0.500, 0.000)
Tc (0.000, 0.000, 0.000)
O (0.285, 0.807, 0.085)
O (0.215, 0.307, 0.085)
O (0.614, 0.586, 0.300)
O (0.114, 0.914, 0.700)
O (0.886, 0.086, 0.300)
O (0.386, 0.414, 0.700)
O (0.785, 0.693, 0.915)
O (0.715, 0.193, 0.915)

Calculated values
total magnetization: 0.00 μB/cell
electronic total energy: -0.4758 Ry per atom
formation energy without anion corrections: -101 kJ/mol of atoms
calculated density: 7.32 Mg/m³
offset from the most stable computed form: 28.06 kJ per mole of atoms

=====

(6)
First-principles (GGA-PBE) data for a relaxed structure of HoErZnOs, as listed in Alexandria.

a = 4.874 Å, b = 4.874 Å, c = 4.874 Å
α = 60.00°, β = 60.00°, γ = 60.00°
Positions (direct):
Zn (0.000, 0.000, 0.000)
Os (0.500, 0.500, 0.500)
Ho (0.750, 0.750, 0.750)
Er (0.250, 0.250, 0.250)

Calculated values
total magnetization: 0.00 μB/cell
electronic total energy: -0.4204 Ry per atom
formation energy: -119 kJ/mol of formula units
calculated density: 11.92 Mg/m³

=====

(7)
First-principles (GGA-PBE) data for a relaxed structure of Na13Au2, as listed in Alexandria.

a = 9.161 Å, b = 9.161 Å, c = 8.602 Å
α = 57.83°, β = 57.83°, γ = 60.00°
Positions (direct):
Na (0.500, 0.500, 0.500)
Na (0.002, 0.621, 0.756)
Na (0.621, 0.621, 0.756)
Na (0.621, 0.002, 0.756)
Na (0.379, 0.998, 0.244)
Na (0.998, 0.379, 0.244)
Na (0.379, 0.379, 0.244)
Na (0.199, 0.795, 0.212)
Na (0.795, 0.795, 0.212)
Na (0.795, 0.199, 0.212)
Na (0.205, 0.801, 0.788)
Na (0.801, 0.205, 0.788)
Na (0.205, 0.205, 0.788)
Au (0.639, 0.639, 0.084)
Au (0.361, 0.361, 0.916)

Calculated values
total magnetization: 0.00 μB/cell
electronic total energy: -0.1206 Ry per atom
formation energy: -88 kJ/mol of formula units
calculated density: 2.33 Mg/m³
offset from the most stable computed form: 3.70 kJ per mole of atoms

=====

(8)
First-principles (GGA-PBE) data for a relaxed structure of NbSnN3, as listed in Alexandria.

a = 4.120 Å, b = 4.120 Å, c = 4.120 Å
α = 90.00°, β = 90.00°, γ = 90.00°
Positions (direct):
Nb (0.000, 0.000, 0.000)
Sn (0.500, 0.500, 0.500)
N (0.000, 0.500, 0.000)
N (0.000, 0.000, 0.500)
N (0.500, 0.000, 0.000)

Calculated values
total magnetization: 1.31 μB/cell
electronic total energy: -0.5421 Ry per atom
formation energy without anion corrections: 42 kJ/mol of atoms
calculated density: 6.02 Mg/m³

=====

(9)
First-principles (GGA-PBE) data for a relaxed structure of CeNpSe4, as listed in Alexandria.

a = 3.778 Å, b = 3.778 Å, c = 9.436 Å
α = 90.00°, β = 90.00°, γ = 90.00°
Positions (direct):
Ce (0.500, 0.500, 0.500)
Np (0.000, 0.000, 0.000)
Se (0.500, 0.500, 0.849)
Se (0.500, 0.500, 0.151)
Se (0.000, 0.000, 0.656)
Se (0.000, 0.000, 0.344)

Calculated values
total magnetization: 3.06 μB/cell
electronic total energy: -0.4908 Ry per atom
formation energy without anion corrections: -117 kJ/mol of atoms
calculated density: 8.54 Mg/m³

=====

(10)
First-principles (GGA-PBE) data for a relaxed structure of DyZn2SiRh2, as listed in Alexandria.

a = 4.443 Å, b = 4.443 Å, c = 5.601 Å
α = 90.00°, β = 90.00°, γ = 90.00°
Positions (direct):
Dy (0.000, 0.000, 0.500)
Zn (0.500, 0.500, 0.725)
Zn (0.500, 0.500, 0.275)
Si (0.000, 0.000, 0.000)
Rh (0.500, 0.000, 0.000)
Rh (0.000, 0.500, 0.000)

Calculated values
total magnetization: 0.21 μB/cell
electronic total energy: -0.3640 Ry per atom
formation energy without anion corrections: -39 kJ/mol of atoms
calculated density: 7.92 Mg/m³

=====

(11)
First-principles (GGA-PBE) data for a relaxed structure of TmMg2Au6, as listed in Alexandria.

a = 5.148 Å, b = 5.101 Å, c = 7.871 Å
α = 71.09°, β = 80.82°, γ = 60.51°
Positions (direct):
Tm (0.000, 0.000, 0.500)
Mg (0.500, 0.836, 0.828)
Mg (0.500, 0.164, 0.172)
Au (0.173, 0.830, 0.160)
Au (0.827, 0.510, 0.160)
Au (0.827, 0.170, 0.840)
Au (0.173, 0.490, 0.840)
Au (0.335, 0.326, 0.500)
Au (0.665, 0.674, 0.500)

Calculated values
total magnetization: 0.00 μB/cell
electronic total energy: -0.2660 Ry per atom
formation energy: -506 kJ/mol of formula units
calculated density: 13.65 Mg/m³

=====

(12)
First-principles (GGA-PBE) data for a relaxed structure of TbHoTh, as listed in Alexandria.

a = 3.576 Å, b = 3.576 Å, c = 17.386 Å
α = 90.03°, β = 95.87°, γ = 119.99°
Positions (direct):
Tb (0.611, 0.306, 0.917)
Tb (0.389, 0.694, 0.083)
Ho (0.835, 0.416, 0.251)
Ho (0.165, 0.584, 0.749)
Th (0.278, 0.139, 0.418)
Th (0.722, 0.861, 0.582)

Calculated values
total magnetization: 0.00 μB/cell
electronic total energy: -0.4060 Ry per atom
formation energy: 5 kJ/mol of formula units
calculated density: 9.65 Mg/m³
offset from the most stable computed form: 0.00 kJ per mole of atoms

=====

Which formula does entry 2 have?
Dy2TaCrN5

=====

Number 11 is which compound?
TmMg2Au6

=====

Look up the calculated density of the third one.
6.74 Mg/m³

=====

What is the formula in the fourth record?
Mg2CuHgP